Record 1
Compound: Ca2Ga4PdPt3
Source: Alexandria
Functional: PBE-GGA
Structure: relaxed

Calculated values
Energy of formation from the pure elements: -0.866 eV/atom

a b c (Å): 4.330 4.330 10.303
angles (deg): 90.00 90.00 90.00
Space group P-4m2 (No. 115)
One atom of each set of equivalent atoms:
Ca: 0.000 0.500 0.248
Ga: 0.000 0.000 0.500
Ga: 0.000 0.500 0.873
Ga: 0.500 0.500 0.500
Pd: 0.500 0.500 0.000
Pt: 0.000 0.000 0.000
Pt: 0.000 0.500 0.633

---

Record 2
Compound: RbCa2GaPd
Source: Alexandria
Functional: PBE-GGA
Structure: relaxed

Calculated values
Energy of formation from the pure elements: -0.233 eV/atom

a b c (Å): 5.730 5.730 5.029
angles (deg): 90.00 90.00 90.00
Space group P4/mmm (No. 123)
One atom of each set of equivalent atoms:
Rb: 0.000 0.000 0.000
Ca: 0.000 0.500 0.500
Ga: 0.500 0.500 0.000
Pd: 0.500 0.500 0.500

---

Record 3
Compound: CaGa4PdRh2
Source: Alexandria
Functional: PBE-GGA
Structure: relaxed

Calculated values
Energy of formation from the pure elements: -0.591 eV/atom

a b c (Å): 4.2611 4.2611 26.6681
angles (deg): 90.00 90.00 120.00
Space group R-3m (No. 166, hexagonal axes)
One atom of each set of equivalent atoms:
Ca: 0.0000 0.0000 0.0000
Ga: 0.0000 0.0000 0.1297
Ga: 0.0000 0.0000 0.4003
Pd: 0.0000 0.0000 0.5000
Rh: 0.0000 0.0000 0.2320

---

Record 4
Compound: Ca2Ga4Pd3Rh
Source: Alexandria
Functional: PBE-GGA
Structure: relaxed

Calculated values
Energy of formation from the pure elements: -0.735 eV/atom

a b c (Å): 4.259 4.259 10.514
angles (deg): 90.00 90.00 90.00
Space group P-4m2 (No. 115)
One atom of each set of equivalent atoms:
Ca: 0.000 0.500 0.242
Ga: 0.000 0.000 0.500
Ga: 0.000 0.500 0.875
Ga: 0.500 0.500 0.500
Pd: 0.000 0.000 0.000
Pd: 0.000 0.500 0.636
Rh: 0.500 0.500 0.000